{"formula": "ZnMo2Ru", "functional": "meta-GGA SCAN", "state": "PBEsol geometry", "lattice_angstrom": [[3.763, 0.000, 0.000], [0.000, 3.786, 0.000], [0.000, 0.000, 3.982]], "species": ["Zn", "Mo", "Mo", "Ru"], "fractional_positions": [[0.000, 0.000, 0.000], [0.000, 0.500, 0.500], [0.500, 0.000, 0.500], [0.500, 0.500, 0.000]], "formation_enthalpy_0k_kj_per_mol_fu": 48, "space_group": "Pmmm, No. 47", "volume_a3_per_cell": 57}